Density functional theory data (PBE-GGA) for crystalline NaLa2Cu2 at its relaxed geometry.

Cell and atoms, written as CIF:
```
data_NaLa2Cu2
_cell_length_a 8.2396
_cell_length_b 8.2396
_cell_length_c 3.8622
_cell_angle_alpha 90.00
_cell_angle_beta 90.00
_cell_angle_gamma 90.00
_symmetry_space_group_name_H-M 'P 4/m b m'
_symmetry_Int_Tables_number 127
_symmetry_space_group_name_Hall '-P 4 2ab'
loop_
_atom_site_label
_atom_site_fract_x
_atom_site_fract_y
_atom_site_fract_z
Na1 0.0000 0.0000 0.0000
La1 0.1611 0.3389 0.5000
Cu1 0.1206 0.6206 0.0000
```

Computed properties:
- ΔE_f: -0.056 eV/atom
- D(E_F): 0.7048 states/eV per atom

Density functional theory data (PBE-GGA) for crystalline NaLa2Cu2 at its relaxed geometry.

Cell and atoms, written as CIF:
```
data_NaLa2Cu2
_cell_length_a 3.5542
_cell_length_b 3.5542
_cell_length_c 22.1824
_cell_angle_alpha 90.00
_cell_angle_beta 90.00
_cell_angle_gamma 90.00
_symmetry_space_group_name_H-M 'I 4/m m m'
_symmetry_Int_Tables_number 139
_symmetry_space_group_name_Hall '-I 4 2'
loop_
_atom_site_label
_atom_site_fract_x
_atom_site_fract_y
_atom_site_fract_z
Na1 0.0000 0.0000 0.0000
La1 0.0000 0.0000 0.3607
Cu1 0.0000 0.5000 0.2500
```

Computed properties:
- ΔE_f: 0.145 eV/atom
- D(E_F): 0.8356 states/eV per atom

Density functional theory data (PBE-GGA) for crystalline Na2LaCu9 at its relaxed geometry.

Cell and atoms, written as CIF:
```
data_Na2LaCu9
_cell_length_a 5.1239
_cell_length_b 5.1239
_cell_length_c 25.2373
_cell_angle_alpha 90.00
_cell_angle_beta 90.00
_cell_angle_gamma 120.00
_symmetry_space_group_name_H-M 'R -3 m'
_symmetry_Int_Tables_number 166
_symmetry_space_group_name_Hall '-R 3 2"'
loop_
_atom_site_label
_atom_site_fract_x
_atom_site_fract_y
_atom_site_fract_z
Na1 0.0000 0.0000 0.1467
La1 0.0000 0.0000 0.0000
Cu1 0.0000 0.0000 0.3319
Cu2 0.0000 0.0000 0.5000
Cu3 0.0035 0.5018 0.0820
```

Computed properties:
- ΔE_f: -0.035 eV/atom
- D(E_F): 0.2721 states/eV per atom

Density functional theory data (PBE-GGA) for crystalline NaLa2Cu2 at its relaxed geometry.

Cell and atoms, written as CIF:
```
data_NaLa2Cu2
_cell_length_a 8.7073
_cell_length_b 8.7073
_cell_length_c 3.4531
_cell_angle_alpha 90.00
_cell_angle_beta 90.00
_cell_angle_gamma 90.00
_symmetry_space_group_name_H-M 'P 4/m b m'
_symmetry_Int_Tables_number 127
_symmetry_space_group_name_Hall '-P 4 2ab'
loop_
_atom_site_label
_atom_site_fract_x
_atom_site_fract_y
_atom_site_fract_z
Na1 0.0000 0.0000 0.0000
La1 0.1421 0.3579 0.0000
Cu1 0.1478 0.6478 0.5000
```

Computed properties:
- ΔE_f: 0.080 eV/atom
- D(E_F): 1.0051 states/eV per atom

Density functional theory data (PBE-GGA) for crystalline Na2LaCu at its relaxed geometry.

Cell and atoms, written as CIF:
```
data_Na2LaCu
_cell_length_a 7.5222
_cell_length_b 7.5222
_cell_length_c 7.5222
_cell_angle_alpha 90.00
_cell_angle_beta 90.00
_cell_angle_gamma 90.00
_symmetry_space_group_name_H-M 'F m -3 m'
_symmetry_Int_Tables_number 225
_symmetry_space_group_name_Hall '-F 4 2 3'
loop_
_atom_site_label
_atom_site_fract_x
_atom_site_fract_y
_atom_site_fract_z
Na1 0.2500 0.2500 0.2500
La1 0.0000 0.0000 0.0000
Cu1 0.0000 0.0000 0.5000
```

Computed properties:
- ΔE_f: 0.457 eV/atom
- D(E_F): 1.1051 states/eV per atom

Density functional theory data (PBE-GGA) for crystalline Na3LaCu at its relaxed geometry.

Cell and atoms, written as CIF:
```
data_Na3LaCu
_cell_length_a 5.4070
_cell_length_b 5.4070
_cell_length_c 5.4070
_cell_angle_alpha 90.00
_cell_angle_beta 90.00
_cell_angle_gamma 90.00
_symmetry_space_group_name_H-M 'P m -3 m'
_symmetry_Int_Tables_number 221
_symmetry_space_group_name_Hall '-P 4 2 3'
loop_
_atom_site_label
_atom_site_fract_x
_atom_site_fract_y
_atom_site_fract_z
Na1 0.0000 0.0000 0.5000
La1 0.5000 0.5000 0.5000
Cu1 0.0000 0.0000 0.0000
```

Computed properties:
- ΔE_f: 0.474 eV/atom
- D(E_F): 0.8802 states/eV per atom

Density functional theory data (PBE-GGA) for crystalline Na2LaCuO4 at its relaxed geometry.

Cell and atoms, written as CIF:
```
data_Na2LaCuO4
_cell_length_a 3.3921
_cell_length_b 11.4263
_cell_length_c 11.3867
_cell_angle_alpha 90.00
_cell_angle_beta 90.00
_cell_angle_gamma 90.00
_symmetry_space_group_name_H-M 'C m c m'
_symmetry_Int_Tables_number 63
_symmetry_space_group_name_Hall '-C 2c 2'
loop_
_atom_site_label
_atom_site_fract_x
_atom_site_fract_y
_atom_site_fract_z
Na1 0.0000 0.1340 0.0446
La1 0.0000 0.4013 0.2500
Cu1 0.0000 0.3345 0.7500
O1 0.0000 0.0656 0.2500
O2 0.0000 0.2103 0.6382
O3 0.0000 0.5000 0.0000
```

Computed properties:
- Formation energy without anion corrections: -152.5 kJ per mole of atoms
- D(E_F): 0.6355 states/eV per atom

Density functional theory data (PBE-GGA) for crystalline NaLa2CuPb at its relaxed geometry.

Cell and atoms, written as CIF:
```
data_NaLa2CuPb
_cell_length_a 5.6755
_cell_length_b 5.6755
_cell_length_c 5.1090
_cell_angle_alpha 90.00
_cell_angle_beta 90.00
_cell_angle_gamma 90.00
_symmetry_space_group_name_H-M 'P 4/m m m'
_symmetry_Int_Tables_number 123
_symmetry_space_group_name_Hall '-P 4 2'
loop_
_atom_site_label
_atom_site_fract_x
_atom_site_fract_y
_atom_site_fract_z
Na1 0.0000 0.0000 0.0000
La1 0.0000 0.5000 0.5000
Cu1 0.5000 0.5000 0.5000
Pb1 0.5000 0.5000 0.0000
```

Computed properties:
- ΔE_f: 0.022 eV/atom
- D(E_F): 0.7169 states/eV per atom

Density functional theory data (PBE-GGA) for crystalline NaLaCuPb at its relaxed geometry.

Cell and atoms, written as CIF:
```
data_NaLaCuPb
_cell_length_a 7.5183
_cell_length_b 7.5183
_cell_length_c 7.5183
_cell_angle_alpha 90.00
_cell_angle_beta 90.00
_cell_angle_gamma 90.00
_symmetry_space_group_name_H-M 'F -4 3 m'
_symmetry_Int_Tables_number 216
_symmetry_space_group_name_Hall 'F -4 2 3'
loop_
_atom_site_label
_atom_site_fract_x
_atom_site_fract_y
_atom_site_fract_z
Na1 0.0000 0.0000 0.0000
La1 0.0000 0.0000 0.5000
Cu1 0.2500 0.2500 0.2500
Pb1 0.2500 0.2500 0.7500
```

Computed properties:
- ΔE_f: -0.148 eV/atom
- D(E_F): 0.6625 states/eV per atom

Density functional theory data (PBE-GGA) for crystalline NaLaCuPd at its relaxed geometry.

Cell and atoms, written as CIF:
```
data_NaLaCuPd
_cell_length_a 7.1216
_cell_length_b 7.1216
_cell_length_c 7.1216
_cell_angle_alpha 90.00
_cell_angle_beta 90.00
_cell_angle_gamma 90.00
_symmetry_space_group_name_H-M 'F -4 3 m'
_symmetry_Int_Tables_number 216
_symmetry_space_group_name_Hall 'F -4 2 3'
loop_
_atom_site_label
_atom_site_fract_x
_atom_site_fract_y
_atom_site_fract_z
Na1 0.0000 0.0000 0.0000
La1 0.0000 0.0000 0.5000
Cu1 0.2500 0.2500 0.2500
Pd1 0.2500 0.2500 0.7500
```

Computed properties:
- ΔE_f: -0.205 eV/atom
- D(E_F): 0.6231 states/eV per atom

Density functional theory data (PBE-GGA) for crystalline NaLaCu2Pt at its relaxed geometry.

Cell and atoms, written as CIF:
```
data_NaLaCu2Pt
_cell_length_a 5.5497
_cell_length_b 5.5497
_cell_length_c 5.3609
_cell_angle_alpha 90.00
_cell_angle_beta 90.00
_cell_angle_gamma 90.00
_symmetry_space_group_name_H-M 'P 4/m m m'
_symmetry_Int_Tables_number 123
_symmetry_space_group_name_Hall '-P 4 2'
loop_
_atom_site_label
_atom_site_fract_x
_atom_site_fract_y
_atom_site_fract_z
Na1 0.0000 0.0000 0.0000
La1 0.5000 0.5000 0.5000
Cu1 0.0000 0.5000 0.5000
Pt1 0.5000 0.5000 0.0000
```

Computed properties:
- ΔE_f: 0.588 eV/atom
- D(E_F): 0.0763 states/eV per atom

Density functional theory data (PBE-GGA) for crystalline NaLaCuPt at its relaxed geometry.

Cell and atoms, written as CIF:
```
data_NaLaCuPt
_cell_length_a 7.0772
_cell_length_b 7.0772
_cell_length_c 7.0772
_cell_angle_alpha 90.00
_cell_angle_beta 90.00
_cell_angle_gamma 90.00
_symmetry_space_group_name_H-M 'F -4 3 m'
_symmetry_Int_Tables_number 216
_symmetry_space_group_name_Hall 'F -4 2 3'
loop_
_atom_site_label
_atom_site_fract_x
_atom_site_fract_y
_atom_site_fract_z
Na1 0.0000 0.0000 0.0000
La1 0.0000 0.0000 0.5000
Cu1 0.2500 0.2500 0.7500
Pt1 0.2500 0.2500 0.2500
```

Computed properties:
- ΔE_f: -0.347 eV/atom
- D(E_F): 0.7184 states/eV per atom